Record 1
VASP calculation (PBE) on a relaxed structure of Ho6MgSc.

Cell: 4.8748 4.8748 9.8358 Å, 90.00 90.00 90.00°
With the nearest neighbours (Å) after each atom.
Fractional coordinates of all 8 atoms:
1 Ho 0.0000 0.0000 0.0000  8 Ho 3.44, 4 Sc 3.45
2 Ho 0.0000 0.0000 0.5000  4 Mg 3.45, 8 Ho 3.48
3 Ho 0.0000 0.5000 0.2475  8 Ho 3.44-3.48, 2 Sc 3.44, 2 Mg 3.48
4 Ho 0.0000 0.5000 0.7525  2 Sc 3.44, 8 Ho 3.44-3.48, 2 Mg 3.48
5 Ho 0.5000 0.0000 0.2475  8 Ho 3.44-3.48, 2 Sc 3.44, 2 Mg 3.48
6 Ho 0.5000 0.0000 0.7525  2 Sc 3.44, 8 Ho 3.44-3.48, 2 Mg 3.48
7 Mg 0.5000 0.5000 0.5000  12 Ho 3.45-3.48
8 Sc 0.5000 0.5000 0.0000  12 Ho 3.44-3.45

Summary:
The formation energy from the elements is 0.22 eV per formula unit. As for the total moment: 0.0 μB/cell. The calculation puts the distance to the lowest polymorph of the same formula at 0.0 meV/atom. The total DFT energy (no corrections) is -4.396 eV per atom. Its crystal system is tetragonal.

Record 2
VASP calculation (PBE) on a relaxed structure of HoMg5Sc2.

Cell: 8.3469 8.3469 8.3469 Å, 122.45 122.45 85.81°
With the nearest neighbours (Å) after each atom.
Fractional coordinates of all 16 atoms:
1 Ho 0.2500 0.2500 0.0000  10 Mg 3.06-3.26
2 Ho 0.7500 0.7500 0.0000  10 Mg 3.06-3.26
3 Mg 0.0000 0.0000 0.0000  4 Sc 3.04, 2 Ho 3.06
4 Mg 0.0207 0.5207 0.2138  3 Sc 3.05-3.12, 4 Mg 3.12-3.25, 2 Ho 3.26
5 Mg 0.1931 0.9793 0.5000  3 Sc 3.05-3.12, 4 Mg 3.12-3.25, 2 Ho 3.26
6 Mg 0.3069 0.8069 0.7862  3 Sc 3.05-3.12, 4 Mg 3.12-3.25, 2 Ho 3.26
7 Mg 0.4793 0.6931 0.5000  3 Sc 3.05-3.12, 4 Mg 3.12-3.25, 2 Ho 3.26
8 Mg 0.5000 0.5000 0.0000  4 Sc 3.04, 2 Ho 3.06
9 Mg 0.5207 0.3069 0.5000  3 Sc 3.05-3.12, 4 Mg 3.12-3.25, 2 Ho 3.26
10 Mg 0.6931 0.1931 0.2138  3 Sc 3.05-3.12, 4 Mg 3.12-3.25, 2 Ho 3.26
11 Mg 0.8069 0.0207 0.5000  3 Sc 3.05-3.12, 4 Mg 3.12-3.25, 2 Ho 3.26
12 Mg 0.9793 0.4793 0.7862  3 Sc 3.05-3.12, 4 Mg 3.12-3.25, 2 Ho 3.26
13 Sc 0.1544 0.3456 0.5000  8 Mg 3.04-3.12
14 Sc 0.3456 0.8456 0.1912  8 Mg 3.04-3.12
15 Sc 0.6544 0.1544 0.8088  8 Mg 3.04-3.12
16 Sc 0.8456 0.6544 0.5000  8 Mg 3.04-3.12

Summary:
The formation energy from the elements is 0.75 eV per formula unit. As for the total moment: 0.0 μB/cell. The calculation puts the distance to the lowest polymorph of the same formula at 141.2 meV/atom. The total DFT energy (no corrections) is -3.057 eV per atom. Its crystal system is tetragonal.

Record 3
VASP calculation (PBE) on a relaxed structure of HoMg6Sc3.

Cell: 8.9126 5.1147 10.8700 Å, 90.00 105.92 90.00°
With the nearest neighbours (Å) after each atom.
Fractional coordinates of all 20 atoms:
1 Ho 0.0528 0.2500 0.4002  8 Mg 3.18-3.25
2 Ho 0.9472 0.7500 0.5998  8 Mg 3.18-3.25
3 Mg 0.0543 0.7500 0.9054  3 Mg 3.08-3.18, 4 Sc 3.13-3.18, 1 Ho 3.19
4 Mg 0.1523 0.7500 0.2003  8 Mg 3.08-3.18
5 Mg 0.1564 0.2500 0.7096  4 Sc 3.07-3.14, 1 Mg 3.16, 3 Ho 3.20-3.23
6 Mg 0.2613 0.7500 0.5026  4 Sc 3.09-3.13, 1 Mg 3.16, 3 Ho 3.18-3.25
7 Mg 0.3563 0.2500 0.3000  5 Sc 3.09-3.19, 2 Mg 3.15, 1 Ho 3.18
8 Mg 0.4507 0.7500 0.0996  7 Sc 3.08-3.12, 1 Mg 3.14
9 Mg 0.5493 0.2500 0.9004  7 Sc 3.08-3.12, 1 Mg 3.14
10 Mg 0.6437 0.7500 0.7000  5 Sc 3.09-3.19, 2 Mg 3.15, 1 Ho 3.18
11 Mg 0.7387 0.2500 0.4974  4 Sc 3.09-3.13, 1 Mg 3.16, 3 Ho 3.18-3.25
12 Mg 0.8436 0.7500 0.2904  4 Sc 3.07-3.14, 1 Mg 3.16, 3 Ho 3.20-3.23
13 Mg 0.8477 0.2500 0.7997  8 Mg 3.08-3.18
14 Mg 0.9457 0.2500 0.0946  3 Mg 3.08-3.18, 4 Sc 3.13-3.18, 1 Ho 3.19
15 Sc 0.2549 0.2500 0.0031  8 Mg 3.07-3.18
16 Sc 0.3518 0.7500 0.8023  8 Mg 3.10-3.15
17 Sc 0.4526 0.2500 0.6055  8 Mg 3.08-3.19
18 Sc 0.5474 0.7500 0.3945  8 Mg 3.08-3.19
19 Sc 0.6482 0.2500 0.1977  8 Mg 3.10-3.15
20 Sc 0.7451 0.7500 0.9969  8 Mg 3.07-3.18

Summary:
The formation energy from the elements is -0.37 eV per formula unit. As for the total moment: 0.1 μB/cell. The total DFT energy (no corrections) is -3.351 eV per atom. Its crystal system is monoclinic.

Record 4
VASP calculation (PBE) on a relaxed structure of Ho3Mg8Sc3.

Cell: 8.7798 8.7798 8.7798 Å, 146.48 95.54 94.00°
With the nearest neighbours (Å) after each atom.
Fractional coordinates of all 14 atoms:
1 Ho 0.0000 0.0000 0.0000  12 Mg 3.33-3.56, 2 Ho 3.34
2 Ho 0.2786 0.2786 0.0000  2 Sc 3.18, 1 Ho 3.34, 6 Mg 3.40-3.53
3 Ho 0.7214 0.7214 0.0000  2 Sc 3.18, 1 Ho 3.34, 6 Mg 3.40-3.53
4 Mg 0.0104 0.6341 0.3763  5 Mg 2.92-3.21, 1 Sc 3.13
5 Mg 0.1233 0.8579 0.2654  3 Mg 2.98-3.04, 3 Sc 3.22-3.25
6 Mg 0.2578 0.6341 0.6237  5 Mg 2.92-3.21, 1 Sc 3.13
7 Mg 0.4075 0.1421 0.2654  3 Mg 2.98-3.04, 3 Sc 3.22-3.25
8 Mg 0.5925 0.8579 0.7346  3 Mg 2.98-3.04, 3 Sc 3.22-3.25
9 Mg 0.7422 0.3659 0.3763  5 Mg 2.92-3.21, 1 Sc 3.13
10 Mg 0.8767 0.1421 0.7346  3 Mg 2.98-3.04, 3 Sc 3.22-3.25
11 Mg 0.9896 0.3659 0.6237  5 Mg 2.92-3.21, 1 Sc 3.13
12 Sc 0.3517 0.5000 0.8517  2 Sc 3.08, 6 Mg 3.13-3.22, 2 Ho 3.18
13 Sc 0.5000 0.0000 0.5000  4 Sc 3.08, 4 Mg 3.25
14 Sc 0.6483 0.5000 0.1483  2 Sc 3.08, 6 Mg 3.13-3.22, 2 Ho 3.18

Summary:
The formation energy from the elements is 0.53 eV per formula unit. As for the total moment: 0.0 μB/cell. The total DFT energy (no corrections) is -3.211 eV per atom. Its crystal system is orthorhombic.

Record 5
VASP calculation (PBE) on a relaxed structure of Ho3Mg6Sc.

Cell: 9.1495 5.1934 11.0798 Å, 90.00 105.24 90.00°
With the nearest neighbours (Å) after each atom.
Fractional coordinates of all 20 atoms:
1 Ho 0.0432 0.2500 0.3991  8 Mg 3.20-3.34
2 Ho 0.1485 0.7500 0.2077  8 Mg 3.26-3.29, 2 Ho 3.64
3 Ho 0.2499 0.2500 0.0082  8 Mg 3.18-3.27
4 Ho 0.7501 0.7500 0.9918  8 Mg 3.18-3.27
5 Ho 0.8515 0.2500 0.7923  8 Mg 3.26-3.29, 2 Ho 3.64
6 Ho 0.9568 0.7500 0.6009  8 Mg 3.20-3.34
7 Mg 0.0595 0.7500 0.9005  1 Mg 3.13, 7 Ho 3.18-3.28
8 Mg 0.1694 0.2500 0.7064  1 Sc 3.12, 2 Mg 3.14, 5 Ho 3.23-3.30
9 Mg 0.2680 0.7500 0.5122  3 Sc 3.10-3.12, 2 Mg 3.16-3.42, 4 Ho 3.25-3.34
10 Mg 0.3547 0.7500 0.8073  8 Mg 3.13-3.21
11 Mg 0.3645 0.2500 0.3102  3 Sc 3.08-3.11, 2 Mg 3.17-3.42, 4 Ho 3.23-3.34
12 Mg 0.4559 0.7500 0.1073  3 Mg 3.13-3.21, 1 Sc 3.15, 4 Ho 3.23-3.29
13 Mg 0.5441 0.2500 0.8927  3 Mg 3.13-3.21, 1 Sc 3.15, 4 Ho 3.23-3.29
14 Mg 0.6355 0.7500 0.6898  3 Sc 3.08-3.11, 2 Mg 3.17-3.42, 4 Ho 3.23-3.34
15 Mg 0.6453 0.2500 0.1927  8 Mg 3.13-3.21
16 Mg 0.7320 0.2500 0.4878  3 Sc 3.10-3.12, 2 Mg 3.16-3.42, 4 Ho 3.25-3.34
17 Mg 0.8306 0.7500 0.2936  1 Sc 3.12, 2 Mg 3.14, 5 Ho 3.23-3.30
18 Mg 0.9405 0.2500 0.0995  1 Mg 3.13, 7 Ho 3.18-3.28
19 Sc 0.4519 0.2500 0.5980  8 Mg 3.08-3.15
20 Sc 0.5481 0.7500 0.4020  8 Mg 3.08-3.15

Summary:
The formation energy from the elements is -0.50 eV per formula unit. As for the total moment: 0.0 μB/cell. The total DFT energy (no corrections) is -3.013 eV per atom. Its crystal system is monoclinic.

Record 6
VASP calculation (PBE) on a relaxed structure of HoMgSc5.

Cell: 4.6868 4.6868 8.6169 Å, 90.00 90.00 90.00°
With the nearest neighbours (Å) after each atom.
Fractional coordinates of all 7 atoms:
1 Ho 0.0000 0.0000 0.0000  12 Sc 3.29-3.31
2 Mg 0.5000 0.5000 0.5000  8 Sc 3.08
3 Sc 0.0000 0.5000 0.2682  2 Mg 3.08, 2 Ho 3.29, 6 Sc 3.29-3.31
4 Sc 0.0000 0.5000 0.7318  2 Mg 3.08, 6 Sc 3.29-3.31, 2 Ho 3.29
5 Sc 0.5000 0.0000 0.2682  2 Mg 3.08, 2 Ho 3.29, 6 Sc 3.29-3.31
6 Sc 0.5000 0.0000 0.7318  2 Mg 3.08, 6 Sc 3.29-3.31, 2 Ho 3.29
7 Sc 0.5000 0.5000 0.0000  8 Sc 3.29, 4 Ho 3.31

Summary:
The formation energy from the elements is 1.56 eV per formula unit. As for the total moment: 0.0 μB/cell. The calculation puts the distance to the lowest polymorph of the same formula at 56.8 meV/atom. The total DFT energy (no corrections) is -5.182 eV per atom. Its crystal system is tetragonal.

Record 7
VASP calculation (PBE) on a relaxed structure of HoMg2Sc2.

Cell: 15.8572 15.8572 15.8572 Å, 165.02 165.02 21.24°
With the nearest neighbours (Å) after each atom.
Fractional coordinates of all 10 atoms:
1 Ho 0.1198 0.1198 0.0000  4 Sc 3.26, 4 Mg 3.36
2 Ho 0.8802 0.8802 0.0000  4 Sc 3.26, 4 Mg 3.36
3 Mg 0.0000 0.5000 0.5000  4 Mg 2.92, 4 Sc 3.09
4 Mg 0.3267 0.3267 0.0000  5 Sc 3.10-3.16, 4 Ho 3.36
5 Mg 0.5000 0.0000 0.5000  4 Mg 2.92, 4 Sc 3.09
6 Mg 0.6733 0.6733 0.0000  5 Sc 3.10-3.16, 4 Ho 3.36
7 Sc 0.2500 0.7500 0.5000  4 Sc 2.92, 4 Mg 3.16
8 Sc 0.4263 0.4263 0.0000  5 Mg 3.09-3.10, 4 Ho 3.26
9 Sc 0.5737 0.5737 0.0000  5 Mg 3.09-3.10, 4 Ho 3.26
10 Sc 0.7500 0.2500 0.5000  4 Sc 2.92, 4 Mg 3.16

Summary:
The formation energy from the elements is 1.21 eV per formula unit. As for the total moment: 0.0 μB/cell. The calculation puts the distance to the lowest polymorph of the same formula at 276.2 meV/atom. The total DFT energy (no corrections) is -3.843 eV per atom. Its crystal system is tetragonal.

Record 8
VASP calculation (PBE) on a relaxed structure of HoMgSc.

Cell: 9.2810 9.2810 9.2810 Å, 20.04 20.04 20.04°
With the nearest neighbours (Å) after each atom.
Fractional coordinates of all 3 atoms:
1 Ho 0.0000 0.0000 0.0000  1 Sc 3.19, 6 Ho 3.23, 1 Mg 3.27
2 Mg 0.1199 0.1199 0.1199  3 Sc 3.23, 6 Mg 3.23, 1 Ho 3.27
3 Sc 0.8832 0.8832 0.8832  1 Ho 3.19, 3 Mg 3.23, 6 Sc 3.23

Summary:
The formation energy from the elements is 0.85 eV per formula unit. As for the total moment: 0.6 μB/cell. The calculation puts the distance to the lowest polymorph of the same formula at 301.2 meV/atom. The total DFT energy (no corrections) is -3.885 eV per atom. Its crystal system is trigonal.

Record 9
VASP calculation (PBE) on a relaxed structure of HoMg6Sc5.

Cell: 8.8781 8.8781 5.1277 Å, 106.75 106.75 119.99°
With the nearest neighbours (Å) after each atom.
Fractional coordinates of all 12 atoms:
1 Ho 0.0000 0.0000 0.0000  8 Mg 3.18-3.20
2 Mg 0.0854 0.4251 0.2555  7 Sc 3.11-3.17, 1 Ho 3.20
3 Mg 0.2606 0.2606 0.7605  6 Sc 3.09-3.15, 2 Ho 3.18-3.19
4 Mg 0.4251 0.0854 0.2555  7 Sc 3.11-3.17, 1 Ho 3.20
5 Mg 0.5749 0.9146 0.7445  7 Sc 3.11-3.17, 1 Ho 3.20
6 Mg 0.7394 0.7394 0.2395  6 Sc 3.09-3.15, 2 Ho 3.18-3.19
7 Mg 0.9146 0.5749 0.7445  7 Sc 3.11-3.17, 1 Ho 3.20
8 Sc 0.1639 0.8361 0.5000  8 Mg 3.11-3.17
9 Sc 0.3331 0.6669 0.0000  8 Mg 3.10-3.12
10 Sc 0.5000 0.5000 0.5000  8 Mg 3.09-3.16
11 Sc 0.6669 0.3331 0.0000  8 Mg 3.10-3.12
12 Sc 0.8361 0.1639 0.5000  8 Mg 3.11-3.17

Summary:
The formation energy from the elements is -0.49 eV per formula unit. As for the total moment: 0.0 μB/cell. The total DFT energy (no corrections) is -3.858 eV per atom. Its crystal system is monoclinic.

Record 10
VASP calculation (PBE) on a relaxed structure of HoMg5Sc.

Cell: 5.7005 5.7005 6.5254 Å, 100.57 100.57 115.27°
With the nearest neighbours (Å) after each atom.
Fractional coordinates of all 7 atoms:
1 Ho 0.0000 0.0000 0.0000  10 Mg 3.18-3.45
2 Mg 0.0000 0.0000 0.5000  4 Mg 2.91, 2 Sc 3.05
3 Mg 0.0915 0.5177 0.7670  4 Mg 2.91-3.16, 1 Sc 3.18, 1 Ho 3.18
4 Mg 0.4823 0.9085 0.2330  4 Mg 2.91-3.16, 1 Sc 3.18, 1 Ho 3.18
5 Mg 0.5177 0.0915 0.7670  4 Mg 2.91-3.16, 1 Sc 3.18, 1 Ho 3.18
6 Mg 0.9085 0.4823 0.2330  4 Mg 2.91-3.16, 1 Sc 3.18, 1 Ho 3.18
7 Sc 0.5000 0.5000 0.5000  6 Mg 3.05-3.18

Summary:
The formation energy from the elements is 0.86 eV per formula unit. As for the total moment: 0.0 μB/cell. The total DFT energy (no corrections) is -2.575 eV per atom. Its crystal system is monoclinic.

Record 11
VASP calculation (PBE) on a relaxed structure of HoMg3Sc6.

Cell: 6.1188 6.1188 7.9904 Å, 90.00 90.00 120.00°
With the nearest neighbours (Å) after each atom.
Fractional coordinates of all 10 atoms:
1 Ho 0.0000 0.0000 0.0000  6 Sc 3.05
2 Mg 0.0000 0.0000 0.5000  6 Mg 3.53, 6 Sc 3.64
3 Mg 0.3333 0.6667 0.5000  6 Sc 3.08
4 Mg 0.6667 0.3333 0.5000  6 Sc 3.08
5 Sc 0.0000 0.4343 0.8116  1 Ho 3.05, 2 Mg 3.08, 5 Sc 3.12-3.14
6 Sc 0.0000 0.5657 0.1884  1 Ho 3.05, 2 Mg 3.08, 5 Sc 3.12-3.14
7 Sc 0.4343 0.0000 0.8116  1 Ho 3.05, 2 Mg 3.08, 5 Sc 3.12-3.14
8 Sc 0.4343 0.4343 0.1884  1 Ho 3.05, 2 Mg 3.08, 5 Sc 3.12-3.14
9 Sc 0.5657 0.0000 0.1884  1 Ho 3.05, 2 Mg 3.08, 5 Sc 3.12-3.14
10 Sc 0.5657 0.5657 0.8116  1 Ho 3.05, 2 Mg 3.08, 5 Sc 3.12-3.14

Summary:
The formation energy from the elements is 2.13 eV per formula unit. As for the total moment: 0.0 μB/cell. The total DFT energy (no corrections) is -4.522 eV per atom. Its crystal system is trigonal.

Record 12
VASP calculation (PBE) on a relaxed structure of Ho2MgSc7.

Cell: 13.7532 13.7532 3.2269 Å, 90.00 90.00 154.79°
With the nearest neighbours (Å) after each atom.
Fractional coordinates of all 10 atoms:
1 Ho 0.2097 0.7903 0.0000  2 Ho 3.23, 8 Sc 3.34-3.49
2 Ho 0.7903 0.2097 0.0000  2 Ho 3.23, 8 Sc 3.34-3.49
3 Mg 0.5000 0.5000 0.5000  2 Mg 3.23, 12 Sc 3.38-3.41
4 Sc 0.0000 0.0000 0.0000  6 Sc 2.99-3.23
5 Sc 0.1567 0.3486 0.0000  7 Sc 2.97-3.23
6 Sc 0.3187 0.6813 0.5000  6 Sc 3.17-3.23, 6 Ho 3.34-3.49
7 Sc 0.3486 0.1567 0.0000  7 Sc 2.97-3.23
8 Sc 0.6514 0.8433 0.0000  7 Sc 2.97-3.23
9 Sc 0.6813 0.3187 0.5000  6 Sc 3.17-3.23, 6 Ho 3.34-3.49
10 Sc 0.8433 0.6514 0.0000  7 Sc 2.97-3.23

Summary:
The formation energy from the elements is 1.58 eV per formula unit. As for the total moment: 0.0 μB/cell. The total DFT energy (no corrections) is -5.349 eV per atom. Its crystal system is orthorhombic.